# 1
## Rb2ThPt3O12 (PBE)

Data for crystalline Rb2ThPt3O12 at its relaxed geometry.

Cell lengths 7.702, 7.702, 7.702 Å; angles 56.75, 56.75, 56.75 degrees
Fractional positions:
Rb 0.110 0.110 0.110
Rb 0.890 0.890 0.890
Th 0.500 0.500 0.500
Pt 0.000 0.500 0.500
Pt 0.500 0.000 0.500
Pt 0.500 0.500 0.000
O 0.140 0.580 0.580
O 0.183 0.183 0.601
O 0.183 0.601 0.183
O 0.399 0.817 0.817
O 0.420 0.420 0.860
O 0.420 0.860 0.420
O 0.580 0.140 0.580
O 0.580 0.580 0.140
O 0.601 0.183 0.183
O 0.817 0.399 0.817
O 0.817 0.817 0.399
O 0.860 0.420 0.420

- formation energy from raw total energies (eV/atom) = -1.03
- calculated total energy (eV/atom) = -5.864


# 2
## Rb2ThPtO4 (PBE)

Data for crystalline Rb2ThPtO4 at its relaxed geometry.

Cell lengths 6.532, 6.532, 7.390 Å; angles 90.00, 90.00, 90.00 degrees
Fractional positions:
Rb 0.000 0.000 0.000
Rb 0.000 0.500 0.250
Rb 0.500 0.000 0.750
Rb 0.500 0.500 0.500
Th 0.000 0.000 0.500
Th 0.500 0.500 0.000
Pt 0.000 0.500 0.750
Pt 0.500 0.000 0.250
O 0.135 0.783 0.698
O 0.217 0.135 0.302
O 0.283 0.365 0.802
O 0.365 0.717 0.198
O 0.635 0.283 0.198
O 0.717 0.635 0.802
O 0.783 0.865 0.302
O 0.865 0.217 0.698

- formation energy from raw total energies (eV/atom) = -1.79
- calculated total energy (eV/atom) = -6.196


# 3
## RbTiPtO4 (PBE)

Data for crystalline RbTiPtO4 at its relaxed geometry.

Cell lengths 7.524, 7.524, 7.524 Å; angles 136.46, 133.51, 65.58 degrees
Fractional positions:
Rb 0.408 0.158 0.250
Rb 0.592 0.842 0.750
Ti 0.000 0.500 0.500
Ti 0.500 0.500 0.000
Pt 0.000 0.000 0.500
Pt 0.000 0.500 0.000
O 0.136 0.680 0.457
O 0.251 0.283 0.531
O 0.251 0.720 0.969
O 0.277 0.320 0.957
O 0.723 0.680 0.043
O 0.749 0.280 0.031
O 0.749 0.717 0.469
O 0.864 0.320 0.543

- formation energy from raw total energies (eV/atom) = -1.57
- calculated total energy (eV/atom) = -6.537


# 4
## RbTi2PtO6 (PBE)

Data for crystalline RbTi2PtO6 at its relaxed geometry.

Cell lengths 7.897, 7.897, 6.357 Å; angles 110.14, 110.14, 71.64 degrees
Fractional positions:
Rb 0.114 0.886 0.750
Rb 0.886 0.114 0.250
Ti 0.154 0.361 0.800
Ti 0.361 0.154 0.300
Ti 0.639 0.846 0.700
Ti 0.846 0.639 0.200
Pt 0.271 0.729 0.250
Pt 0.729 0.271 0.750
O 0.098 0.629 0.308
O 0.181 0.597 0.918
O 0.230 0.252 0.520
O 0.252 0.230 0.020
O 0.371 0.902 0.192
O 0.403 0.819 0.582
O 0.597 0.181 0.418
O 0.629 0.098 0.808
O 0.748 0.770 0.980
O 0.770 0.748 0.480
O 0.819 0.403 0.082
O 0.902 0.371 0.692

- formation energy from raw total energies (eV/atom) = -2.07
- calculated total energy (eV/atom) = -7.321


# 5
## Rb2TlPtO4 (PBE)

Data for crystalline Rb2TlPtO4 at its relaxed geometry.

Cell lengths 12.860, 11.199, 7.793 Å; angles 83.16, 59.84, 36.99 degrees
Fractional positions:
Rb 0.055 0.055 0.695
Rb 0.305 0.305 0.945
Rb 0.695 0.695 0.055
Rb 0.945 0.945 0.305
Tl 0.125 0.125 0.125
Tl 0.875 0.875 0.875
Pt 0.375 0.375 0.375
Pt 0.625 0.625 0.625
O 0.058 0.692 0.502
O 0.249 0.502 0.692
O 0.308 0.942 0.751
O 0.498 0.751 0.942
O 0.502 0.249 0.058
O 0.692 0.058 0.249
O 0.751 0.498 0.308
O 0.942 0.308 0.498

- formation energy from raw total energies (eV/atom) = -0.80
- calculated total energy (eV/atom) = -4.568


# 6
## Rb2U3PtO12 (PBE)

Data for crystalline Rb2U3PtO12 at its relaxed geometry.

Cell lengths 7.599, 7.599, 7.599 Å; angles 62.80, 62.80, 62.80 degrees
Fractional positions:
Rb 0.132 0.132 0.132
Rb 0.868 0.868 0.868
U 0.000 0.500 0.500
U 0.500 0.000 0.500
U 0.500 0.500 0.000
Pt 0.500 0.500 0.500
O 0.179 0.179 0.559
O 0.179 0.559 0.179
O 0.196 0.560 0.560
O 0.440 0.440 0.804
O 0.440 0.804 0.440
O 0.441 0.821 0.821
O 0.559 0.179 0.179
O 0.560 0.196 0.560
O 0.560 0.560 0.196
O 0.804 0.440 0.440
O 0.821 0.441 0.821
O 0.821 0.821 0.441

- formation energy from raw total energies (eV/atom) = -2.50
- calculated total energy (eV/atom) = -8.131


The lowest formation energy from raw total energies belongs to which entry?
Rb2U3PtO12


Copy entry 3 word for word.
## RbTiPtO4 (PBE)

Data for crystalline RbTiPtO4 at its relaxed geometry.

Cell lengths 7.524, 7.524, 7.524 Å; angles 136.46, 133.51, 65.58 degrees
Fractional positions:
Rb 0.408 0.158 0.250
Rb 0.592 0.842 0.750
Ti 0.000 0.500 0.500
Ti 0.500 0.500 0.000
Pt 0.000 0.000 0.500
Pt 0.000 0.500 0.000
O 0.136 0.680 0.457
O 0.251 0.283 0.531
O 0.251 0.720 0.969
O 0.277 0.320 0.957
O 0.723 0.680 0.043
O 0.749 0.280 0.031
O 0.749 0.717 0.469
O 0.864 0.320 0.543

- formation energy from raw total energies (eV/atom) = -1.57
- calculated total energy (eV/atom) = -6.537


Among the records above, which one has the highest calculated total energy?
Rb2TlPtO4


The lowest calculated total energy belongs to which entry?
Rb2U3PtO12